1.
Here is crystalline Pu3TeAs2 at its relaxed geometry from Alexandria via LeMat-Bulk. Energies are from PBE.

Uncorrected formation energy: -1001 meV/atom
Total energy: -10.240 eV/atom
Crystal system: monoclinic
Size of the total moment: 0.867 μB/atom

Structure (CIF):
```
data_Pu3TeAs2
_chemical_formula_sum 'Pu12 Te4 As8'
_cell_length_a 7.356
_cell_length_b 12.723
_cell_length_c 7.319
_cell_angle_alpha 90.00
_cell_angle_beta 109.48
_cell_angle_gamma 90.00
_symmetry_space_group_name_H-M 'C 1 2/c 1'
_symmetry_Int_Tables_number 15
_symmetry_space_group_name_Hall '-C 2yc'
loop_
_atom_site_label
_atom_site_type_symbol
_atom_site_fract_x
_atom_site_fract_y
_atom_site_fract_z
_atom_site_occupancy
Pu1 Pu 0.229 0.091 0.496 1
Pu2 Pu 0.250 0.250 0.000 1
Te1 Te 0.000 0.424 0.750 1
As1 As 0.000 0.083 0.750 1
As2 As 0.000 0.257 0.250 1
```

2.
Here is crystalline PuTe2As at its relaxed geometry from Alexandria via LeMat-Bulk. Energies are from PBE.

Uncorrected formation energy: 416 meV/atom
Total energy: -5.900 eV/atom
Crystal system: trigonal
Size of the total moment: 1.514 μB/atom

Structure (CIF):
```
data_PuTe2As
_chemical_formula_sum 'Pu3 Te6 As3'
_cell_length_a 3.1591
_cell_length_b 3.1591
_cell_length_c 41.6929
_cell_angle_alpha 90.00
_cell_angle_beta 90.00
_cell_angle_gamma 120.00
_symmetry_space_group_name_H-M 'R -3 m'
_symmetry_Int_Tables_number 166
_symmetry_space_group_name_Hall '-R 3 2"'
loop_
_atom_site_label
_atom_site_type_symbol
_atom_site_fract_x
_atom_site_fract_y
_atom_site_fract_z
_atom_site_occupancy
Pu1 Pu 0.0000 0.0000 0.0000 1
Te1 Te 0.0000 0.0000 0.0752 1
As1 As 0.0000 0.0000 0.5000 1
```

3.
Here is crystalline Pu2TeAs at its relaxed geometry from Alexandria via LeMat-Bulk. Energies are from PBE.

Uncorrected formation energy: -871 meV/atom
Total energy: -9.985 eV/atom
Crystal system: cubic
Size of the total moment: 2.749 μB/atom

Structure (CIF):
```
data_Pu2TeAs
_chemical_formula_sum 'Pu8 Te4 As4'
_cell_length_a 7.336
_cell_length_b 7.336
_cell_length_c 7.336
_cell_angle_alpha 90.00
_cell_angle_beta 90.00
_cell_angle_gamma 90.00
_symmetry_space_group_name_H-M 'F m -3 m'
_symmetry_Int_Tables_number 225
_symmetry_space_group_name_Hall '-F 4 2 3'
loop_
_atom_site_label
_atom_site_type_symbol
_atom_site_fract_x
_atom_site_fract_y
_atom_site_fract_z
_atom_site_occupancy
Pu1 Pu 0.250 0.250 0.250 1
Te1 Te 0.000 0.000 0.000 1
As1 As 0.000 0.000 0.500 1
```

4.
Here is crystalline Pu2TeAs at its relaxed geometry from Alexandria via LeMat-Bulk. Energies are from PBE.

Uncorrected formation energy: -922 meV/atom
Total energy: -10.036 eV/atom
Crystal system: tetragonal
Size of the total moment: 2.748 μB/atom

Structure (CIF):
```
data_Pu2TeAs
_chemical_formula_sum 'Pu2 Te1 As1'
_cell_length_a 3.659
_cell_length_b 3.659
_cell_length_c 7.362
_cell_angle_alpha 90.00
_cell_angle_beta 90.00
_cell_angle_gamma 90.00
_symmetry_space_group_name_H-M 'P 4/m m m'
_symmetry_Int_Tables_number 123
_symmetry_space_group_name_Hall '-P 4 2'
loop_
_atom_site_label
_atom_site_type_symbol
_atom_site_fract_x
_atom_site_fract_y
_atom_site_fract_z
_atom_site_occupancy
Pu1 Pu 0.000 0.000 0.225 1
Te1 Te 0.500 0.500 0.500 1
As1 As 0.500 0.500 0.000 1
```

5.
Here is crystalline Pu8Te5As3 at its relaxed geometry from Alexandria via LeMat-Bulk. Energies are from PBE.

Uncorrected formation energy: -1080 meV/atom
Total energy: -10.100 eV/atom
Crystal system: trigonal
Size of the total moment: 2.793 μB/atom

Structure (CIF):
```
data_Pu8Te5As3
_chemical_formula_sum 'Pu24 Te15 As9'
_cell_length_a 8.6518
_cell_length_b 8.6518
_cell_length_c 21.3629
_cell_angle_alpha 90.00
_cell_angle_beta 90.00
_cell_angle_gamma 120.00
_symmetry_space_group_name_H-M 'R -3 m'
_symmetry_Int_Tables_number 166
_symmetry_space_group_name_Hall '-R 3 2"'
loop_
_atom_site_label
_atom_site_type_symbol
_atom_site_fract_x
_atom_site_fract_y
_atom_site_fract_z
_atom_site_occupancy
Pu1 Pu 0.0000 0.0000 0.2412 1
Pu2 Pu 0.0125 0.5063 0.7562 1
Te1 Te 0.0000 0.0000 0.0000 1
Te2 Te 0.0000 0.0000 0.5000 1
Te3 Te 0.0000 0.5000 0.0000 1
As1 As 0.0000 0.5000 0.5000 1
```

6.
Here is crystalline PuTeAs at its relaxed geometry from Alexandria via LeMat-Bulk. Energies are from PBE.

Uncorrected formation energy: -618 meV/atom
Total energy: -7.992 eV/atom
Crystal system: trigonal
Size of the total moment: 1.654 μB/atom

Structure (CIF):
```
data_PuTeAs
_chemical_formula_sum 'Pu2 Te2 As2'
_cell_length_a 4.3988
_cell_length_b 4.3988
_cell_length_c 10.9058
_cell_angle_alpha 90.00
_cell_angle_beta 90.00
_cell_angle_gamma 120.00
_symmetry_space_group_name_H-M 'P -3 m 1'
_symmetry_Int_Tables_number 164
_symmetry_space_group_name_Hall '-P 3 2"'
loop_
_atom_site_label
_atom_site_type_symbol
_atom_site_fract_x
_atom_site_fract_y
_atom_site_fract_z
_atom_site_occupancy
Pu1 Pu 0.0000 0.0000 0.1821 1
Te1 Te 0.3333 0.6667 0.3394 1
As1 As 0.3333 0.6667 0.9773 1
```

7.
Here is crystalline Pu2TeAs at its relaxed geometry from Alexandria via LeMat-Bulk. Energies are from PBE.

Uncorrected formation energy: -346 meV/atom
Total energy: -9.459 eV/atom
Crystal system: trigonal
Size of the total moment: 0.002 μB/atom

Structure (CIF):
```
data_Pu2TeAs
_chemical_formula_sum 'Pu6 Te3 As3'
_cell_length_a 5.1493
_cell_length_b 5.1493
_cell_length_c 13.5663
_cell_angle_alpha 90.00
_cell_angle_beta 90.00
_cell_angle_gamma 120.00
_symmetry_space_group_name_H-M 'R 3 m'
_symmetry_Int_Tables_number 160
_symmetry_space_group_name_Hall 'R 3 -2"'
loop_
_atom_site_label
_atom_site_type_symbol
_atom_site_fract_x
_atom_site_fract_y
_atom_site_fract_z
_atom_site_occupancy
Pu1 Pu 0.0000 0.0000 0.0000 1
Pu2 Pu 0.0000 0.0000 0.1825 1
Te1 Te 0.0000 0.0000 0.7638 1
As1 As 0.0000 0.0000 0.4086 1
```

8.
Here is crystalline Pu2TeAs at its relaxed geometry from Alexandria via LeMat-Bulk. Energies are from PBE.

Uncorrected formation energy: -1085 meV/atom
Total energy: -10.199 eV/atom
Crystal system: trigonal
Size of the total moment: 2.737 μB/atom

Structure (CIF):
```
data_Pu2TeAs
_chemical_formula_sum 'Pu6 Te3 As3'
_cell_length_a 4.2797
_cell_length_b 4.2797
_cell_length_c 21.2376
_cell_angle_alpha 90.00
_cell_angle_beta 90.00
_cell_angle_gamma 120.00
_symmetry_space_group_name_H-M 'R -3 m'
_symmetry_Int_Tables_number 166
_symmetry_space_group_name_Hall '-R 3 2"'
loop_
_atom_site_label
_atom_site_type_symbol
_atom_site_fract_x
_atom_site_fract_y
_atom_site_fract_z
_atom_site_occupancy
Pu1 Pu 0.0000 0.0000 0.2415 1
Te1 Te 0.0000 0.0000 0.0000 1
As1 As 0.0000 0.0000 0.5000 1
```

9.
Here is crystalline Pu6TeAs5 at its relaxed geometry from Alexandria via LeMat-Bulk. Energies are from PBE.

Uncorrected formation energy: -1034 meV/atom
Total energy: -10.399 eV/atom
Crystal system: monoclinic
Size of the total moment: 2.579 μB/atom

Structure (CIF):
```
data_Pu6TeAs5
_chemical_formula_sum 'Pu12 Te2 As10'
_cell_length_a 7.263
_cell_length_b 12.584
_cell_length_c 7.260
_cell_angle_alpha 90.00
_cell_angle_beta 109.54
_cell_angle_gamma 90.00
_symmetry_space_group_name_H-M 'C 1 2/m 1'
_symmetry_Int_Tables_number 12
_symmetry_space_group_name_Hall '-C 2y'
loop_
_atom_site_label
_atom_site_type_symbol
_atom_site_fract_x
_atom_site_fract_y
_atom_site_fract_z
_atom_site_occupancy
Pu1 Pu 0.238 0.000 0.255 1
Pu2 Pu 0.240 0.174 0.741 1
Te1 Te 0.000 0.500 0.000 1
As1 As 0.000 0.000 0.500 1
As2 As 0.000 0.167 0.000 1
As3 As 0.000 0.340 0.500 1
```

10.
Here is crystalline Pu2TeAs at its relaxed geometry from Alexandria via LeMat-Bulk. Energies are from PBE.

Uncorrected formation energy: -1057 meV/atom
Total energy: -10.170 eV/atom
Crystal system: hexagonal
Size of the total moment: 2.748 μB/atom

Structure (CIF):
```
data_Pu2TeAs
_chemical_formula_sum 'Pu4 Te2 As2'
_cell_length_a 4.2689
_cell_length_b 4.2689
_cell_length_c 14.4178
_cell_angle_alpha 90.00
_cell_angle_beta 90.00
_cell_angle_gamma 120.00
_symmetry_space_group_name_H-M 'P 63/m m c'
_symmetry_Int_Tables_number 194
_symmetry_space_group_name_Hall '-P 6c 2c'
loop_
_atom_site_label
_atom_site_type_symbol
_atom_site_fract_x
_atom_site_fract_y
_atom_site_fract_z
_atom_site_occupancy
Pu1 Pu 0.3333 0.6667 0.1104 1
Te1 Te 0.3333 0.6667 0.7500 1
As1 As 0.0000 0.0000 0.0000 1
```

11.
Here is crystalline Pu2TeAs at its relaxed geometry from Alexandria via LeMat-Bulk. Energies are from PBE.

Uncorrected formation energy: -1045 meV/atom
Total energy: -10.158 eV/atom
Crystal system: tetragonal
Size of the total moment: 2.732 μB/atom

Structure (CIF):
```
data_Pu2TeAs
_chemical_formula_sum 'Pu8 Te4 As4'
_cell_length_a 6.089
_cell_length_b 6.089
_cell_length_c 12.156
_cell_angle_alpha 90.00
_cell_angle_beta 90.00
_cell_angle_gamma 90.00
_symmetry_space_group_name_H-M 'I 41/a m d'
_symmetry_Int_Tables_number 141
loop_
_symmetry_equiv_pos_as_xyz
'x,y,z'
'-x,-y,-z'
'-y+1/4,x+3/4,z+1/4'
'y+1/4,-x+3/4,-z+1/4'
'-x+1/2,-y,z+1/2'
'x+1/2,y,-z+1/2'
'y+1/4,-x+1/4,z+3/4'
'-y+1/4,x+1/4,-z+3/4'
'x,-y,-z'
'-x,y,z'
'-y+1/4,-x+1/4,-z+3/4'
'y+1/4,x+1/4,z+3/4'
'-x+1/2,y,-z+1/2'
'x+1/2,-y,z+1/2'
'y+1/4,x+3/4,-z+1/4'
'-y+1/4,-x+3/4,z+1/4'
'x+1/2,y+1/2,z+1/2'
'-x+1/2,-y+1/2,-z+1/2'
'-y+3/4,x+1/4,z+3/4'
'y+3/4,-x+1/4,-z+3/4'
'-x,-y+1/2,z'
'x,y+1/2,-z'
'y+3/4,-x+3/4,z+1/4'
'-y+3/4,x+3/4,-z+1/4'
'x+1/2,-y+1/2,-z+1/2'
'-x+1/2,y+1/2,z+1/2'
'-y+3/4,-x+3/4,-z+1/4'
'y+3/4,x+3/4,z+1/4'
'-x,y+1/2,-z'
'x,-y+1/2,z'
'y+3/4,x+1/4,-z+3/4'
'-y+3/4,-x+1/4,z+3/4'
loop_
_atom_site_label
_atom_site_type_symbol
_atom_site_fract_x
_atom_site_fract_y
_atom_site_fract_z
_atom_site_occupancy
Pu1 Pu 0.000 0.250 0.114 1
Te1 Te 0.000 0.250 0.375 1
As1 As 0.000 0.250 0.875 1
```

12.
Here is crystalline Pu3Te12As5 at its relaxed geometry from Alexandria via LeMat-Bulk. Energies are from PBE.

Uncorrected formation energy: -267 meV/atom
Total energy: -5.464 eV/atom
Crystal system: cubic
Size of the total moment: 0.789 μB/atom

Structure (CIF):
```
data_Pu3Te12As5
_chemical_formula_sum 'Pu24 Te96 As40'
_cell_length_a 17.523
_cell_length_b 17.523
_cell_length_c 17.523
_cell_angle_alpha 90.00
_cell_angle_beta 90.00
_cell_angle_gamma 90.00
_symmetry_space_group_name_H-M 'I a -3 d'
_symmetry_Int_Tables_number 230
_symmetry_space_group_name_Hall '-I 4bd 2c 3'
loop_
_atom_site_label
_atom_site_type_symbol
_atom_site_fract_x
_atom_site_fract_y
_atom_site_fract_z
_atom_site_occupancy
Pu1 Pu 0.000 0.250 0.125 1
Te1 Te 0.020 0.063 0.651 1
As1 As 0.000 0.000 0.000 1
As2 As 0.000 0.250 0.375 1
```

- Which value of total energy does entry 3 give?
  -9.985 eV/atom

- Which value of total energy does entry 3 give?
  -9.985 eV/atom

- Look up the total energy of the eighth one.
  -10.199 eV/atom